VASP calculation (meta-GGA SCAN) on a crystal of Tl2NiB relaxed with PBEsol.

Output
DFT formation energy	1.23	eV per atom
spin magnetization	0.0000	μB per atom
energy	-40.8486	eV/atom

```
Tl2NiB
1.0
0.0000 3.2408 3.2408
3.2408 0.0000 3.2408
3.2408 3.2408 0.0000
Tl Ni B
2 1 1
Direct
0.2500 0.2500 0.2500 Tl
0.7500 0.7500 0.7500 Tl
0.0000 0.0000 0.0000 Ni
0.5000 0.5000 0.5000 B
```

=====

VASP calculation (meta-GGA SCAN) on a crystal of TlFeC3 relaxed with PBEsol.

Output
DFT formation energy	2.11	eV per atom
spin magnetization	0.1844	μB per atom
energy	-22.0489	eV/atom

```
TlFeC3
1.0
3.8454 0.0000 0.0000
0.0000 3.8454 0.0000
0.0000 0.0000 3.8454
Tl Fe C
1 1 3
Direct
0.0000 0.0000 0.0000 Tl
0.5000 0.5000 0.5000 Fe
0.0000 0.5000 0.5000 C
0.5000 0.0000 0.5000 C
0.5000 0.5000 0.0000 C
```

=====

VASP calculation (meta-GGA SCAN) on a crystal of KLiSi2 relaxed with PBEsol.

Output
spin magnetization	0.0000	μB per atom
energy	-7.0420	eV/atom
distance to the lowest polymorph of the same formula	0.6194	eV per atom
formation energy from raw total energies	646	meV/atom

```
KLiSi2
1.0
0.0000 3.4422 3.4422
3.4422 0.0000 3.4422
3.4422 3.4422 0.0000
K Li Si
1 1 2
Direct
0.0000 0.0000 0.0000 K
0.5000 0.5000 0.5000 Li
0.2500 0.2500 0.2500 Si
0.7500 0.7500 0.7500 Si
```

=====

VASP calculation (meta-GGA SCAN) on a crystal of LaCd2Os relaxed with PBEsol.

Output
DFT formation energy	0.09	eV per atom
spin magnetization	0.0000	μB per atom
energy	-43.8629	eV/atom

```
LaCd2Os
1.0
-2.1172 2.1172 4.6324
2.1172 -2.1172 4.6324
2.1172 2.1172 -4.6324
La Cd Os
1 2 1
Direct
0.0000 0.0000 0.0000 La
0.2500 0.7500 0.5000 Cd
0.7500 0.2500 0.5000 Cd
0.5000 0.5000 0.0000 Os
```

=====

VASP calculation (meta-GGA SCAN) on a crystal of KCa3Cu relaxed with PBEsol.

Output
DFT formation energy	0.05	eV per atom
spin magnetization	0.0000	μB per atom
energy	-10.4507	eV/atom

```
KCa3Cu
1.0
5.7472 0.0000 0.0000
0.0000 5.7472 0.0000
0.0000 0.0000 5.7472
K Ca Cu
1 3 1
Direct
0.0000 0.0000 0.0000 K
0.0000 0.5000 0.5000 Ca
0.5000 0.0000 0.5000 Ca
0.5000 0.5000 0.0000 Ca
0.5000 0.5000 0.5000 Cu
```

=====

VASP calculation (meta-GGA SCAN) on a crystal of HgAuSe2 relaxed with PBEsol.

Output
spin magnetization	0.0000	μB per atom
energy	-43.8476	eV/atom
formation energy from raw total energies	522	meV/atom

```
HgAuSe2
1.0
0.0000 3.4074 3.4074
3.4074 0.0000 3.4074
3.4074 3.4074 0.0000
Hg Au Se
1 1 2
Direct
0.0000 0.0000 0.0000 Hg
0.7500 0.7500 0.7500 Au
0.2500 0.2500 0.2500 Se
0.5000 0.5000 0.5000 Se
```

=====

VASP calculation (meta-GGA SCAN) on a crystal of ScAsIrBr2 relaxed with PBEsol.

Output
spin magnetization	0.1669	μB per atom
energy	-28.7100	eV/atom
formation energy from raw total energies	179	meV/atom

```
ScAsIrBr2
1.0
5.0406 0.0000 0.0000
0.0000 5.0406 0.0000
0.0000 0.0000 4.7202
Sc As Ir Br
1 1 1 2
Direct
0.0000 0.0000 0.0000 Sc
0.5000 0.5000 0.0000 As
0.5000 0.5000 0.5000 Ir
0.0000 0.5000 0.5000 Br
0.5000 0.0000 0.5000 Br
```

=====

VASP calculation (meta-GGA SCAN) on a crystal of Y2MoI2 relaxed with PBEsol.

Output
spin magnetization	0.1979	μB per atom
energy	-32.5632	eV/atom
formation energy from raw total energies	248	meV/atom

```
Y2MoI2
1.0
-2.9067 2.9067 4.1714
2.9067 -2.9067 4.1714
2.9067 2.9067 -4.1714
Y Mo I
2 1 2
Direct
0.2500 0.7500 0.5000 Y
0.7500 0.2500 0.5000 Y
0.0000 0.0000 0.0000 Mo
0.3136 0.3136 0.0000 I
0.6864 0.6864 0.0000 I
```

=====

VASP calculation (meta-GGA SCAN) on a crystal of Hf2ReAgHg relaxed with PBEsol.

Output
DFT formation energy	1.81	eV per atom
spin magnetization	0.0084	μB per atom
energy	-57.3859	eV/atom

```
Hf2ReAgHg
1.0
5.0586 0.0000 0.0000
0.0000 5.0586 0.0000
0.0000 0.0000 4.7287
Hf Re Ag Hg
2 1 1 1
Direct
0.0000 0.5000 0.0000 Hf
0.5000 0.0000 0.0000 Hf
0.0000 0.0000 0.5000 Re
0.5000 0.5000 0.5000 Ag
0.5000 0.5000 0.0000 Hg
```

=====

VASP calculation (meta-GGA SCAN) on a crystal of ZnCo2Hg relaxed with PBEsol.

Output
DFT formation energy	0.39	eV per atom
spin magnetization	0.7340	μB per atom
energy	-28.6872	eV/atom

```
ZnCo2Hg
1.0
1.3788 0.7961 8.3275
-1.3788 0.7961 8.3275
0.0000 -1.5921 8.3275
Zn Co Hg
1 2 1
Direct
0.0000 0.0000 0.0000 Zn
0.2560 0.2560 0.2560 Co
0.7440 0.7440 0.7440 Co
0.5000 0.5000 0.5000 Hg
```

=====

VASP calculation (meta-GGA SCAN) on a crystal of Cd2SbAs relaxed with PBEsol.

Output
spin magnetization	0.0000	μB per atom
energy	-29.4503	eV/atom
distance to the lowest polymorph of the same formula	0.0000	eV per atom
formation energy from raw total energies	120	meV/atom

```
Cd2SbAs
1.0
-1.8847 2.1888 5.6385
1.8847 -2.1888 5.6385
1.8847 2.1888 -5.6385
Cd Sb As
2 1 1
Direct
0.0000 0.0000 0.0000 Cd
0.6821 0.1821 0.5000 Cd
0.2706 0.7706 0.5000 Sb
0.4573 0.4573 0.0000 As
```

=====

VASP calculation (meta-GGA SCAN) on a crystal of Sm3Si11Pt23 relaxed with PBEsol.

Output
spin magnetization	0.0000	μB per atom
energy	-51.2690	eV/atom
formation energy from raw total energies	-1054	meV/atom

```
Sm3Si11Pt23
1.0
0.0000 8.4124 8.4124
8.4124 0.0000 8.4124
8.4124 8.4124 0.0000
Sm Si Pt
6 22 46
Direct
0.0000 0.0000 0.5000 Sm
0.0000 0.5000 0.0000 Sm
0.0000 0.5000 0.5000 Sm
0.5000 0.0000 0.0000 Sm
0.5000 0.0000 0.5000 Sm
0.5000 0.5000 0.0000 Sm
0.1654 0.1654 0.1654 Si
0.1654 0.1654 0.5038 Si
0.1654 0.5038 0.1654 Si
0.1707 0.1707 0.8293 Si
0.1707 0.8293 0.1707 Si
0.1707 0.8293 0.8293 Si
0.1811 0.6063 0.6063 Si
0.3937 0.3937 0.3937 Si
0.3937 0.3937 0.8189 Si
0.3937 0.8189 0.3937 Si
0.4962 0.8346 0.8346 Si
0.5038 0.1654 0.1654 Si
0.6063 0.1811 0.6063 Si
0.6063 0.6063 0.1811 Si
0.6063 0.6063 0.6063 Si
0.8189 0.3937 0.3937 Si
0.8293 0.1707 0.1707 Si
0.8293 0.1707 0.8293 Si
0.8293 0.8293 0.1707 Si
0.8346 0.4962 0.8346 Si
0.8346 0.8346 0.4962 Si
0.8346 0.8346 0.8346 Si
0.0749 0.3084 0.3084 Pt
0.0830 0.0830 0.0830 Pt
0.0830 0.0830 0.7509 Pt
0.0833 0.4209 0.7479 Pt
0.0833 0.7479 0.4209 Pt
0.0833 0.7479 0.7479 Pt
0.0830 0.7509 0.0830 Pt
0.2491 0.9170 0.9170 Pt
0.2521 0.2521 0.5791 Pt
0.2521 0.2521 0.9167 Pt
0.2521 0.5791 0.2521 Pt
0.2521 0.5791 0.9167 Pt
0.2521 0.9167 0.2521 Pt
0.2521 0.9167 0.5791 Pt
0.3084 0.0749 0.3084 Pt
0.3084 0.3084 0.0749 Pt
0.3084 0.3084 0.3084 Pt
0.3746 0.3746 0.6254 Pt
0.3746 0.6254 0.3746 Pt
0.3746 0.6254 0.6254 Pt
0.4209 0.0833 0.7479 Pt
0.4209 0.7479 0.0833 Pt
0.4209 0.7479 0.7479 Pt
0.5791 0.2521 0.2521 Pt
0.5791 0.2521 0.9167 Pt
0.5791 0.9167 0.2521 Pt
0.6254 0.3746 0.3746 Pt
0.6254 0.3746 0.6254 Pt
0.6254 0.6254 0.3746 Pt
0.6916 0.6916 0.6916 Pt
0.6916 0.6916 0.9251 Pt
0.6916 0.9251 0.6916 Pt
0.7479 0.0833 0.4209 Pt
0.7479 0.0833 0.7479 Pt
0.7479 0.4209 0.0833 Pt
0.7479 0.4209 0.7479 Pt
0.7479 0.7479 0.0833 Pt
0.7479 0.7479 0.4209 Pt
0.7509 0.0830 0.0830 Pt
0.9170 0.2491 0.9170 Pt
0.9167 0.2521 0.2521 Pt
0.9167 0.2521 0.5791 Pt
0.9167 0.5791 0.2521 Pt
0.9170 0.9170 0.2491 Pt
0.9170 0.9170 0.9170 Pt
0.9251 0.6916 0.6916 Pt
```

=====

VASP calculation (meta-GGA SCAN) on a crystal of Cs2RbAu2 relaxed with PBEsol.

Output
DFT formation energy	-0.29	eV per atom
spin magnetization	0.0000	μB per atom
energy	-47.2239	eV/atom
distance to the lowest polymorph of the same formula	0.0000	eV per atom

```
Cs2RbAu2
1.0
9.9445 0.0000 0.0000
0.0000 9.9445 0.0000
0.0000 0.0000 4.0516
Cs Rb Au
4 2 4
Direct
0.1313 0.3687 0.0000 Cs
0.3687 0.8687 0.0000 Cs
0.6313 0.1313 0.0000 Cs
0.8687 0.6313 0.0000 Cs
0.0000 0.0000 0.0000 Rb
0.5000 0.5000 0.0000 Rb
0.1680 0.6680 0.5000 Au
0.3320 0.1680 0.5000 Au
0.6680 0.8320 0.5000 Au
0.8320 0.3320 0.5000 Au
```

=====

VASP calculation (meta-GGA SCAN) on a crystal of In3GaS relaxed with PBEsol.

Output
spin magnetization	0.0000	μB per atom
energy	-25.0212	eV/atom
formation energy from raw total energies	206	meV/atom

```
In3GaS
1.0
5.1530 0.0000 0.0000
0.0000 5.1530 0.0000
0.0000 0.0000 5.1530
In Ga S
3 1 1
Direct
0.0000 0.0000 0.5000 In
0.0000 0.5000 0.0000 In
0.5000 0.0000 0.0000 In
0.0000 0.0000 0.0000 Ga
0.5000 0.5000 0.5000 S
```

=====

VASP calculation (meta-GGA SCAN) on a crystal of LaCu2Br relaxed with PBEsol.

Output
spin magnetization	0.0000	μB per atom
energy	-23.7902	eV/atom
distance to the lowest polymorph of the same formula	0.0000	eV per atom
formation energy from raw total energies	-549	meV/atom

```
LaCu2Br
1.0
3.6127 -2.0886 0.0000
3.6127 2.0886 0.0000
-0.0063 0.0000 6.5331
La Cu Br
1 2 1
Direct
0.0000 0.0000 0.0000 La
0.3336 0.3336 0.2531 Cu
0.6671 0.6671 0.2896 Cu
0.6660 0.6660 0.7003 Br
```

=====

VASP calculation (meta-GGA SCAN) on a crystal of AlAu2Se relaxed with PBEsol.

Output
spin magnetization	0.0000	μB per atom
energy	-41.3884	eV/atom
formation energy from raw total energies	148	meV/atom

```
AlAu2Se
1.0
0.0000 3.2858 3.2858
3.2858 0.0000 3.2858
3.2858 3.2858 0.0000
Al Au Se
1 2 1
Direct
0.0000 0.0000 0.0000 Al
0.2500 0.2500 0.2500 Au
0.7500 0.7500 0.7500 Au
0.5000 0.5000 0.5000 Se
```

=====

VASP calculation (meta-GGA SCAN) on a crystal of TiAgPb3 relaxed with PBEsol.

Output
DFT formation energy	0.37	eV per atom
spin magnetization	0.0000	μB per atom
energy	-54.5767	eV/atom

```
TiAgPb3
1.0
5.3112 0.0000 0.0000
0.0000 5.3112 0.0000
0.0000 0.0000 5.3112
Ti Ag Pb
1 1 3
Direct
0.0000 0.0000 0.0000 Ti
0.5000 0.5000 0.5000 Ag
0.0000 0.0000 0.5000 Pb
0.0000 0.5000 0.0000 Pb
0.5000 0.0000 0.0000 Pb
```

=====

VASP calculation (meta-GGA SCAN) on a crystal of Ca3MnO relaxed with PBEsol.

Output
spin magnetization	0.9353	μB per atom
energy	-11.8615	eV/atom
formation energy from raw total energies	-1166	meV/atom

```
Ca3MnO
1.0
4.8095 0.0000 0.0000
0.0000 4.8095 0.0000
0.0000 0.0000 4.8095
Ca Mn O
3 1 1
Direct
0.0000 0.0000 0.5000 Ca
0.0000 0.5000 0.0000 Ca
0.5000 0.0000 0.0000 Ca
0.5000 0.5000 0.5000 Mn
0.0000 0.0000 0.0000 O
```

=====

VASP calculation (meta-GGA SCAN) on a crystal of Li3VOF6 relaxed with PBEsol.

Output
spin magnetization	0.0000	μB per atom
energy	-7.6918	eV/atom
formation energy from raw total energies	-2953	meV/atom

```
Li3VOF6
1.0
4.9946 0.0000 0.0000
0.0000 5.0307 0.0000
0.0000 0.0000 16.5769
Li V O F
12 4 4 24
Direct
0.1779 0.0148 0.0144 Li
0.2204 0.4550 0.8617 Li
0.2362 0.9965 0.2553 Li
0.2638 0.0035 0.7553 Li
0.2796 0.5450 0.3617 Li
0.3221 0.9852 0.5144 Li
0.6779 0.4852 0.9856 Li
0.7204 0.0450 0.1383 Li
0.7362 0.5035 0.7447 Li
0.7638 0.4965 0.2447 Li
0.7796 0.9550 0.6383 Li
0.8221 0.5148 0.4856 Li
0.2394 0.4810 0.6235 V
0.2606 0.5190 0.1235 V
0.7394 0.0190 0.3765 V
0.7606 0.9810 0.8765 V
0.0126 0.8565 0.3915 O
0.4874 0.1435 0.8915 O
0.5126 0.6435 0.6085 O
0.9874 0.3565 0.1085 O
0.0314 0.7515 0.5572 F
0.0742 0.7345 0.6943 F
0.0946 0.7988 0.8492 F
0.1067 0.8659 0.1232 F
0.1377 0.6062 0.2367 F
0.1814 0.3441 0.5183 F
0.3186 0.6559 0.0183 F
0.3623 0.3938 0.7367 F
0.3933 0.1341 0.6232 F
0.4054 0.2012 0.3492 F
0.4258 0.2655 0.1943 F
0.4686 0.2485 0.0572 F
0.5314 0.7485 0.4428 F
0.5742 0.7655 0.3057 F
0.5946 0.7012 0.1508 F
0.6067 0.6341 0.8768 F
0.6377 0.8938 0.7633 F
0.6814 0.1559 0.4817 F
0.8186 0.8441 0.9817 F
0.8623 0.1062 0.2633 F
0.8933 0.3659 0.3768 F
0.9054 0.2988 0.6508 F
0.9258 0.2345 0.8057 F
0.9686 0.2515 0.9428 F
```

=====

VASP calculation (meta-GGA SCAN) on a crystal of LiNi6Ru relaxed with PBEsol.

Output
DFT formation energy	0.05	eV per atom
spin magnetization	0.6890	μB per atom
energy	-16.7330	eV/atom

```
LiNi6Ru
1.0
3.5030 -4.9634 0.0000
3.5030 4.9634 0.0000
0.0000 0.0000 9.9263
Li Ni Ru
4 24 4
Direct
0.0000 0.0000 0.2477 Li
0.0000 0.0000 0.7523 Li
0.2545 0.7455 0.0000 Li
0.7455 0.2545 0.0000 Li
0.0000 0.0000 0.0000 Ni
0.0000 0.0000 0.5000 Ni
0.1226 0.3725 0.1237 Ni
0.1226 0.3725 0.8763 Ni
0.1255 0.3751 0.3735 Ni
0.1255 0.3751 0.6265 Ni
0.2505 0.7495 0.2491 Ni
0.2505 0.7495 0.7509 Ni
0.3725 0.1226 0.1237 Ni
0.3725 0.1226 0.8763 Ni
0.3751 0.1255 0.3735 Ni
0.3751 0.1255 0.6265 Ni
0.5000 0.5000 0.0000 Ni
0.5000 0.5000 0.5000 Ni
0.6249 0.8745 0.3735 Ni
0.6249 0.8745 0.6265 Ni
0.6275 0.8774 0.1237 Ni
0.6275 0.8774 0.8763 Ni
0.7495 0.2505 0.2491 Ni
0.7495 0.2505 0.7509 Ni
0.8745 0.6249 0.3735 Ni
0.8745 0.6249 0.6265 Ni
0.8774 0.6275 0.1237 Ni
0.8774 0.6275 0.8763 Ni
0.2478 0.7522 0.5000 Ru
0.5000 0.5000 0.2430 Ru
0.5000 0.5000 0.7570 Ru
0.7522 0.2478 0.5000 Ru
```